w.
Here is a geometry-optimized LaPu2Ru structure from the Alexandria database. Energies are from PBE-GGA.

Structure (POSCAR):
```
LaPu2Ru
1.0
14.705 0.000 0.000
0.000 9.320 0.000
0.000 0.000 6.102
La Pu Ru
8 16 8
Cartesian
1.576 2.330 1.443 La
2.103 6.990 5.893 La
5.250 2.330 2.842 La
5.777 6.990 4.494 La
8.928 2.330 1.607 La
9.456 6.990 3.259 La
12.602 2.330 0.209 La
13.129 6.990 4.658 La
0.548 0.553 4.521 Pu
0.548 4.107 4.521 Pu
3.135 5.226 2.732 Pu
3.135 8.755 2.732 Pu
4.217 0.566 5.783 Pu
4.217 4.095 5.783 Pu
6.804 5.213 1.470 Pu
6.804 8.768 1.470 Pu
7.901 0.553 4.632 Pu
7.901 4.107 4.632 Pu
10.488 5.226 0.319 Pu
10.488 8.755 0.319 Pu
11.570 0.566 3.369 Pu
11.570 4.095 3.369 Pu
14.157 5.213 1.581 Pu
14.157 8.768 1.581 Pu
1.072 6.990 2.951 Ru
2.610 2.330 4.435 Ru
4.743 6.990 1.384 Ru
6.281 2.330 6.002 Ru
8.425 6.990 0.100 Ru
9.962 2.330 4.717 Ru
12.095 6.990 1.666 Ru
13.633 2.330 3.151 Ru
```

Computed properties:
DOS(E_F)   3.312 states/eV/atom

***

x.
Here is a geometry-optimized LaPu2Ru structure from the Alexandria database. Energies are from PBE-GGA.

Structure (POSCAR):
```
LaPu2Ru
1.0
3.545 0.000 0.000
0.000 3.545 0.000
0.000 0.000 7.728
La Pu Ru
1 2 1
Cartesian
0.000 0.000 0.000 La
1.773 1.773 2.342 Pu
1.773 1.773 5.387 Pu
0.000 0.000 3.864 Ru
```

Computed properties:
DOS(E_F)   3.227 states/eV/atom

***

Energy above the most stable structure, in meV/atom: w 0; x 78